Material: Y2MgSi
Method: DFT, PBE
State: optimized geometry

Cell: 6.025 6.025 6.025 Å, 137.99 137.99 60.92°
Atoms (fractional coordinates):
Mg 0.500 0.500 0.000
Si 0.750 0.250 0.500
Y 0.000 0.000 0.000
Y 0.250 0.750 0.500

## Properties
E_form (uncorrected)	-0.2476	eV per atom
space-group type	No. 119